Compound: ZrTaV2F
Source: Alexandria
Functional: PBE+U
Structure: optimized geometry

Structure (CIF):
```
data_ZrTaV2F
_chemical_formula_sum 'Zr1 Ta1 V2 F1'
_space_group_name_H-M_alt 'P 4/m m m'
_space_group_IT_number 123
_space_group_name_Hall '-P 4 2'
_cell_length_a 4.9241
_cell_length_b 4.9241
_cell_length_c 5.2021
_cell_angle_alpha 90.00
_cell_angle_beta 90.00
_cell_angle_gamma 90.00
loop_
_atom_site_label
_atom_site_type_symbol
_atom_site_fract_x
_atom_site_fract_y
_atom_site_fract_z
_atom_site_occupancy
Zr1 Zr 0.0000 0.0000 0.0000 1
Ta1 Ta 0.0000 0.0000 0.5000 1
V1 V 0.0000 0.5000 0.5000 1
F1 F 0.5000 0.5000 0.0000 1
```

Summary:
Uncorrected energy, eV/cell: -30.0